(1)
Here is AlAgAs2F after structural relaxation from Alexandria. Energies are from GGA-PBE.

a b c (Å): 4.779 4.779 5.031
angles (deg): 90.00 90.00 90.00
Fractional coordinates of all 5 atoms:
1 As 0.000 0.500 0.000
2 Al 0.000 0.000 0.000
3 As 0.500 0.000 0.000
4 Ag 0.000 0.000 0.500
5 F 0.500 0.500 0.500

* formation energy (no corrections): 1.5 eV per formula unit
* crystal system: tetragonal
* DOS(E_F): 0.62 states/eV/atom
* symmetry: No. 123

***

(2)
Here is BeCr3Sb after structural relaxation from Alexandria. Energies are from GGA-PBE.

a b c (Å): 4.158 4.158 4.158
angles (deg): 90.00 90.00 90.00
Fractional coordinates of all 5 atoms:
1 Cr 0.000 0.000 0.500
2 Cr 0.500 0.000 0.000
3 Be 0.000 0.000 0.000
4 Sb 0.500 0.500 0.500
5 Cr 0.000 0.500 0.000

* formation energy (no corrections): 2.8 eV per formula unit
* crystal system: cubic
* DOS(E_F): 0.55 states/eV/atom
* symmetry: No. 221
* E above lowest polymorph: 0 meV per atom

***

(3)
Here is K2TlIn2 after structural relaxation from Alexandria. Energies are from GGA-PBE.

a b c (Å): 4.816 4.816 8.841
angles (deg): 74.19 74.19 90.00
Fractional coordinates of all 5 atoms:
1 K 0.250 0.750 0.500
2 K 0.750 0.250 0.500
3 In 0.588 0.588 0.825
4 Tl 0.000 0.000 0.000
5 In 0.412 0.412 0.175

* crystal system: tetragonal
* E_form: 175 meV/atom
* DOS(E_F): 0.74 states/eV/atom
* symmetry: No. 139
* E above lowest polymorph: 263 meV per atom

***

(4)
Here is NiP3Br after structural relaxation from Alexandria. Energies are from GGA-PBE.

a b c (Å): 4.486 4.486 4.486
angles (deg): 90.00 90.00 90.00
Fractional coordinates of all 5 atoms:
1 Br 0.500 0.500 0.500
2 P 0.500 0.000 0.000
3 Ni 0.000 0.000 0.000
4 P 0.000 0.500 0.000
5 P 0.000 0.000 0.500

* formation energy (no corrections): 3.7 eV per formula unit
* crystal system: cubic
* DOS(E_F): 1.57 states/eV/atom
* symmetry: No. 221
* E above lowest polymorph: 0 meV per atom

***

(5)
Here is Ac6MgZn after structural relaxation from Alexandria. Energies are from GGA-PBE.

a b c (Å): 5.677 5.677 10.449
angles (deg): 74.24 74.24 90.00
Fractional coordinates of all 8 atoms:
1 Mg 0.500 0.500 0.000
2 Ac 0.251 0.251 0.498
3 Ac 0.604 0.104 0.791
4 Ac 0.104 0.604 0.791
5 Ac 0.749 0.749 0.502
6 Zn 0.000 0.000 0.000
7 Ac 0.896 0.396 0.209
8 Ac 0.396 0.896 0.209

* crystal system: tetragonal
* E_form: -64 meV/atom
* DOS(E_F): 1.13 states/eV/atom
* symmetry: No. 139

***

(6)
Here is Ac4PuSb5 after structural relaxation from Alexandria. Energies are from GGA-PBE.

a b c (Å): 4.748 4.748 17.066
angles (deg): 98.00 98.00 90.00
Fractional coordinates of all 10 atoms:
1 Pu 0.000 0.000 0.000
2 Sb 0.096 0.096 0.192
3 Ac 0.599 0.599 0.198
4 Ac 0.401 0.401 0.802
5 Sb 0.500 0.500 0.000
6 Sb 0.904 0.904 0.808
7 Sb 0.300 0.300 0.600
8 Sb 0.700 0.700 0.400
9 Ac 0.199 0.199 0.398
10 Ac 0.801 0.801 0.602

* formation energy (no corrections): -10.5 eV per formula unit
* crystal system: tetragonal
* DOS(E_F): 1.93 states/eV/atom
* symmetry: No. 139